No. 1
The following is a DFT calculation (GGA-PBE) of a relaxed structure of CaSiN.

Unit cell a=5.803 b=5.803 c=6.945 alpha=124.26 beta=124.26 gamma=29.36
Atoms (fractional coordinates):
Ca 0.000 0.000 0.000
Ca 0.035 0.035 0.531
Si 0.282 0.282 0.078
Si 0.768 0.768 0.491
N 0.388 0.388 0.639
N 0.740 0.740 0.203

Space-group type: Cm, No. 8
DOS at the Fermi energy: 0.4 states/eV per cell
Spin magnetization: 0.00 μB/cell
Polymorph energy (0 for the lowest one): 61.6 kJ/mol of formula units

=====

No. 2
The following is a DFT calculation (GGA-PBE) of a relaxed structure of PuPaSi4.

Unit cell a=5.240 b=5.240 c=5.240 alpha=60.00 beta=60.00 gamma=60.00
Atoms (fractional coordinates):
Pu 0.000 0.000 0.000
Pa 0.250 0.250 0.250
Si 0.120 0.627 0.627
Si 0.627 0.120 0.627
Si 0.627 0.627 0.120
Si 0.627 0.627 0.627

Space-group type: F-43m, No. 216
DOS at the Fermi energy: 3.8 states/eV per cell
Spin magnetization: 5.60 μB/cell
Polymorph energy (0 for the lowest one): 67.4 kJ/mol of formula units

=====

Copy entry 2 word for word.
The following is a DFT calculation (GGA-PBE) of a relaxed structure of PuPaSi4.

Unit cell a=5.240 b=5.240 c=5.240 alpha=60.00 beta=60.00 gamma=60.00
Atoms (fractional coordinates):
Pu 0.000 0.000 0.000
Pa 0.250 0.250 0.250
Si 0.120 0.627 0.627
Si 0.627 0.120 0.627
Si 0.627 0.627 0.120
Si 0.627 0.627 0.627

Space-group type: F-43m, No. 216
DOS at the Fermi energy: 3.8 states/eV per cell
Spin magnetization: 5.60 μB/cell
Polymorph energy (0 for the lowest one): 67.4 kJ/mol of formula units